Entry 1:
DFT (PBE-GGA) results for K2RbTe4As after structural relaxation.

```
K2RbTe4As
1.0
10.208 -0.490 -1.876
-0.182 10.427 0.446
-6.281 -4.570 7.295
K Rb Te As
4 2 8 2
direct
0.524 0.971 0.105
0.529 0.075 0.538
0.981 0.994 0.193
0.352 0.311 0.895
0.189 0.543 0.220
0.970 0.567 0.469
0.022 0.745 0.888
0.895 0.310 0.659
0.265 0.924 0.590
0.683 0.159 0.987
0.679 0.652 0.050
0.650 0.769 0.371
0.481 0.441 0.631
0.236 0.162 0.078
0.685 0.456 0.557
0.860 0.920 0.770
```

Properties
The symmetry is P1. Its uncorrected formation energy is -4.835 eV per formula unit.

---

Entry 2:
DFT (PBE-GGA) results for K2RbTlAs after structural relaxation.

```
K2RbTlAs
1.0
6.683 0.000 0.000
0.000 6.683 0.000
0.000 0.000 5.521
K Tl As Rb
2 1 1 1
direct
0.000 0.500 0.000
0.500 0.000 0.000
0.000 0.000 0.500
0.000 0.000 0.000
0.500 0.500 0.500
```

Properties
The value obtained for the formation energy is -0.43 eV per formula unit. The symmetry is P4/mmm.

---

Entry 3:
DFT (PBE-GGA) results for KRbTl2As after structural relaxation.

```
KRbTl2As
1.0
5.804 0.000 0.000
0.000 4.646 0.000
-2.902 -2.323 6.860
K Rb Tl As
1 1 2 1
direct
0.216 0.716 0.433
0.447 0.447 0.895
0.691 0.191 0.383
0.029 0.029 0.059
0.828 0.828 0.655
```

Properties
The value obtained for the formation energy is -0.86 eV per formula unit. The symmetry is Imm2.

---

Entry 4:
DFT (PBE-GGA) results for KRb2ZnAs2 after structural relaxation.

```
KRb2ZnAs2
1.0
8.091 0.000 0.000
0.000 6.922 0.000
-4.046 -3.461 7.422
K Rb Zn As
2 4 2 4
direct
0.000 0.750 0.000
0.000 0.250 0.000
0.472 0.176 0.352
0.528 0.824 0.648
0.120 0.324 0.648
0.880 0.676 0.352
0.500 0.750 0.000
0.500 0.250 0.000
0.768 0.085 0.170
0.403 0.585 0.170
0.597 0.415 0.830
0.232 0.915 0.830
```

Properties
The value obtained for the formation energy is -1.84 eV per formula unit. The symmetry is Ibam.